Entry from the Alexandria database: a relaxed In2BiTe2 crystal (GGA-PBE).

a b c (Å): 5.8456 5.8456 9.2822
angles (deg): 90.00 90.00 90.00
Last column: nearest neighbours and their distance in Å.
Space group I4/mmm (No. 139)
Asymmetric unit:
In  0.0000  0.0000  0.1520 [4 per cell]  1 In 2.82, 4 Te 3.06
Bi  0.0000  0.0000  0.5000 [2 per cell]  2 In 3.23
Te  0.0000  0.5000  0.2500 [4 per cell]  4 In 3.06

Energy relative to the lowest polymorph listed for this composition: 104.7 meV/atom
Energy: -0.1136 Ha/atom
E_form (uncorrected): 38 meV per atom

***

Entry from the Alexandria database: a relaxed InBiTe3 crystal (GGA-PBE).

a b c (Å): 5.9744 5.9744 5.9744
angles (deg): 90.00 90.00 90.00
Last column: nearest neighbours and their distance in Å.
Space group Pm-3m (No. 221)
Asymmetric unit:
In  0.0000  0.0000  0.0000 [1 per cell]  12 Te 4.22
Bi  0.5000  0.5000  0.5000 [1 per cell]  6 Te 2.99
Te  0.0000  0.5000  0.5000 [3 per cell]  2 Bi 2.99

Energy relative to the lowest polymorph listed for this composition: 515.3 meV/atom
Energy: -0.1065 Ha/atom
E_form (uncorrected): 311 meV per atom

***

Entry from the Alexandria database: a relaxed In2BiTe crystal (GGA-PBE).

a b c (Å): 4.2571 4.2571 24.0333
angles (deg): 90.00 90.00 120.00
Last column: nearest neighbours and their distance in Å.
Space group R3m (No. 160, hexagonal axes)
Asymmetric unit:
In  0.0000  0.0000  0.0000 [3 per cell]  3 Te 3.21, 3 Bi 3.22
In  0.0000  0.0000  0.1655 [3 per cell]  3 Te 3.11, 3 Bi 3.14
Bi  0.0000  0.0000  0.5799 [3 per cell]  6 In 3.14-3.22
Te  0.0000  0.0000  0.7526 [3 per cell]  6 In 3.11-3.21

Energy relative to the lowest polymorph listed for this composition: 44.4 meV/atom
Energy: -0.1171 Ha/atom
E_form (uncorrected): -63 meV per atom

***

Entry from the Alexandria database: a relaxed In2BiTe crystal (GGA-PBE).

a b c (Å): 4.7529 4.7529 5.3961
angles (deg): 90.00 90.00 90.00
Last column: nearest neighbours and their distance in Å.
Space group P4/mmm (No. 123)
Asymmetric unit:
In  0.0000  0.5000  0.0000 [2 per cell]  4 In 3.36, 4 Bi 3.60, 4 Te 3.60
Bi  0.0000  0.0000  0.5000 [1 per cell]  4 Te 3.36, 8 In 3.60
Te  0.5000  0.5000  0.5000 [1 per cell]  4 Bi 3.36, 8 In 3.60

Energy relative to the lowest polymorph listed for this composition: 107.7 meV/atom
Energy: -0.1148 Ha/atom
E_form (uncorrected): 1 meV per atom

***

Entry from the Alexandria database: a relaxed InBiTe crystal (GGA-PBE).

a b c (Å): 6.9219 3.9996 8.2084
angles (deg): 90.00 96.38 90.00
Last column: nearest neighbours and their distance in Å.
Space group Cm (No. 8)
Asymmetric unit:
In  0.0000  0.0000  0.0000 [2 per cell]  3 Te 2.83, 1 Bi 2.90
Bi  0.0496  0.0000  0.3557 [2 per cell]  1 In 2.90
Te  0.1403  0.5000  0.7985 [2 per cell]  3 In 2.83

Energy relative to the lowest polymorph listed for this composition: 72.7 meV/atom
Energy: -0.1192 Ha/atom
E_form (uncorrected): 11 meV per atom

***

Entry from the Alexandria database: a relaxed InBiTe2 crystal (GGA-PBE).

a b c (Å): 8.1772 8.1772 8.5911
angles (deg): 90.00 90.00 90.00
Last column: nearest neighbours and their distance in Å.
Space group I-42d (No. 122)
Asymmetric unit:
In  0.0000  0.0000  0.0000 [4 per cell]  4 Te 3.07
Bi  0.0000  0.0000  0.5000 [4 per cell]  4 Te 3.09
Te  0.2481  0.2500  0.1250 [8 per cell]  2 In 3.07, 2 Bi 3.09

Energy: -0.1210 Ha/atom
E_form (uncorrected): -68 meV per atom

***

Number 6 is which compound? InBiTe2

***

Which value of energy does entry 3 give? -0.1171 Ha/atom

***

Look up the energy of the third one. -0.1171 Ha/atom

***

E_form (uncorrected) of number 3 (In2BiTe)? -63 meV per atom